*1*
## DyEr2Pd (GGA-PBE)

Data for a relaxed DyEr2Pd crystal.

Unit cell a=6.433 b=6.981 c=9.599 alpha=90.00 beta=90.00 gamma=90.00
Positions (direct):
Dy: 0.630 0.521 0.250
Dy: 0.870 0.021 0.250
Dy: 0.370 0.479 0.750
Dy: 0.130 0.979 0.750
Er: 0.176 0.681 0.059
Er: 0.324 0.181 0.441
Er: 0.824 0.319 0.559
Er: 0.676 0.819 0.941
Er: 0.824 0.319 0.941
Er: 0.676 0.819 0.559
Er: 0.176 0.681 0.441
Er: 0.324 0.181 0.059
Pd: 0.059 0.390 0.250
Pd: 0.441 0.890 0.250
Pd: 0.941 0.610 0.750
Pd: 0.559 0.110 0.750

The theoretical density is 9.30 g/cm³. The space group is No. 62.

---

*2*
## DyEr2Pd (GGA-PBE)

Data for a relaxed DyEr2Pd crystal.

Unit cell a=3.614 b=3.614 c=9.953 alpha=79.54 beta=79.54 gamma=60.00
Positions (direct):
Dy: 0.500 0.500 0.500
Pd: 0.000 0.000 0.000
Er: 0.267 0.267 0.200
Er: 0.733 0.733 0.800

The theoretical density is 9.10 g/cm³. The space group is No. 166.

---

So which one is most stable? That would be *1*, about 0.181 eV/atom below the next structure.

---

*1*
## DyEr4Pd2 (GGA-PBE)

Data for a relaxed DyEr4Pd2 crystal.

Unit cell a=6.318 b=7.786 c=8.045 alpha=112.66 beta=90.00 gamma=90.00
Positions (direct):
Dy: 0.250 0.845 0.975
Dy: 0.750 0.155 0.025
Er: 0.504 0.407 0.770
Er: 0.250 0.246 0.348
Er: 0.750 0.754 0.652
Er: 0.996 0.407 0.770
Er: 0.750 0.021 0.392
Er: 0.004 0.593 0.230
Er: 0.496 0.593 0.230
Er: 0.250 0.979 0.608
Pd: 0.250 0.240 0.991
Pd: 0.750 0.760 0.009
Pd: 0.750 0.382 0.420
Pd: 0.250 0.618 0.580

The theoretical density is 9.50 g/cm³. The space group is No. 11.

---

*2*
## DyEr4Pd2 (GGA-PBE)

Data for a relaxed DyEr4Pd2 crystal.

Unit cell a=3.832 b=3.832 c=15.626 alpha=82.96 beta=82.96 gamma=60.00
Positions (direct):
Dy: 0.500 0.500 0.500
Er: 0.698 0.698 0.906
Er: 0.894 0.894 0.317
Er: 0.302 0.302 0.094
Er: 0.106 0.106 0.683
Pd: 0.598 0.598 0.205
Pd: 0.402 0.402 0.795

The theoretical density is 8.82 g/cm³. The space group is No. 166.

---

So which one is most stable? That would be *1*, about 0.086 eV/atom below the next structure.

---

*1*
## DyErPd (GGA-PBE)

Data for a relaxed DyErPd crystal.

Unit cell a=7.365 b=7.365 c=9.637 alpha=90.00 beta=90.00 gamma=120.00
Positions (direct):
Dy: 0.000 0.264 0.000
Dy: 0.736 0.736 0.000
Dy: 0.264 0.000 0.000
Dy: 0.000 0.264 0.500
Dy: 0.736 0.736 0.500
Dy: 0.264 0.000 0.500
Er: 0.000 0.594 0.250
Er: 0.406 0.406 0.250
Er: 0.594 0.000 0.250
Er: 0.406 0.406 0.750
Er: 0.000 0.594 0.750
Er: 0.594 0.000 0.750
Pd: 0.000 0.000 0.250
Pd: 0.000 0.000 0.750
Pd: 0.667 0.333 0.000
Pd: 0.667 0.333 0.500
Pd: 0.333 0.667 0.000
Pd: 0.333 0.667 0.500

The theoretical density is 9.60 g/cm³. The space group is No. 189.

---

*2*
## DyErPd (GGA-PBE)

Data for a relaxed DyErPd crystal.

Unit cell a=6.688 b=7.022 c=7.340 alpha=75.32 beta=90.00 gamma=90.00
Positions (direct):
Dy: 0.750 0.937 0.516
Dy: 0.750 0.937 0.016
Dy: 0.250 0.063 0.484
Dy: 0.250 0.063 0.984
Er: 0.244 0.539 0.110
Er: 0.256 0.539 0.610
Er: 0.756 0.461 0.890
Er: 0.744 0.461 0.390
Pd: 0.543 0.215 0.700
Pd: 0.043 0.785 0.800
Pd: 0.457 0.785 0.300
Pd: 0.957 0.215 0.200

The theoretical density is 8.69 g/cm³. The space group is No. 14.

---

So which one is most stable? That would be *1*, about 0.057 eV/atom below the next structure.

---

*1*
## Dy3ErPd (GGA-PBE)

Data for a relaxed Dy3ErPd crystal.

Unit cell a=7.136 b=7.136 c=7.514 alpha=104.20 beta=114.97 gamma=107.29
Positions (direct):
Dy: 0.833 0.009 0.240
Dy: 0.231 0.407 0.240
Dy: 0.769 0.593 0.760
Dy: 0.726 0.460 0.186
Dy: 0.167 0.991 0.760
Dy: 0.274 0.540 0.814
Er: 0.700 0.072 0.772
Er: 0.300 0.928 0.228
Pd: 0.646 0.770 0.416
Pd: 0.354 0.230 0.584

The theoretical density is 8.45 g/cm³. The space group is No. 12.

---

*2*
## Dy3ErPd (GGA-PBE)

Data for a relaxed Dy3ErPd crystal.

Unit cell a=3.692 b=6.363 c=12.561 alpha=86.95 beta=81.55 gamma=73.13
Positions (direct):
Dy: 0.456 0.934 0.154
Dy: 0.757 0.731 0.755
Dy: 0.104 0.166 0.625
Dy: 0.991 0.102 0.916
Dy: 0.784 0.043 0.389
Dy: 0.429 0.624 0.517
Er: 0.108 0.502 0.282
Er: 0.221 0.564 0.994
Pd: 0.771 0.328 0.130
Pd: 0.439 0.343 0.779

The theoretical density is 9.05 g/cm³. The space group is No. 8.

---

So which one is most stable? That would be *2*, about 0.095 eV/atom below the next structure.

---

*1*
## DyEr2Pd2 (GGA-PBE)

Data for a relaxed DyEr2Pd2 crystal.

Unit cell a=3.834 b=7.079 c=9.613 alpha=90.00 beta=90.00 gamma=105.71
Positions (direct):
Dy: 0.601 0.201 0.987
Dy: 0.399 0.799 0.487
Er: 0.893 0.786 0.145
Er: 0.317 0.634 0.853
Er: 0.107 0.214 0.645
Er: 0.683 0.366 0.353
Pd: 0.238 0.475 0.139
Pd: 0.968 0.936 0.861
Pd: 0.762 0.525 0.639
Pd: 0.032 0.064 0.361

The theoretical density is 9.39 g/cm³. The space group is No. 36.

---

*2*
## DyEr2Pd2 (GGA-PBE)

Data for a relaxed DyEr2Pd2 crystal.

Unit cell a=3.929 b=7.754 c=7.754 alpha=90.00 beta=90.00 gamma=90.00
Positions (direct):
Dy: 0.500 0.500 0.000
Dy: 0.500 0.000 0.500
Er: 0.000 0.664 0.336
Er: 0.000 0.836 0.836
Er: 0.000 0.164 0.164
Er: 0.000 0.336 0.664
Pd: 0.500 0.367 0.367
Pd: 0.500 0.867 0.133
Pd: 0.500 0.133 0.867
Pd: 0.500 0.633 0.633

The theoretical density is 9.98 g/cm³. The space group is No. 127.

---

So which one is most stable? That would be *2*, about 0.067 eV/atom below the next structure.

---

*1*
## DyErSiPd (GGA-PBE)

Data for a relaxed DyErSiPd crystal.

Unit cell a=3.926 b=4.214 c=5.715 alpha=90.00 beta=110.09 gamma=90.00
Positions (direct):
Dy: 0.858 0.500 0.715
Er: 0.139 0.000 0.278
Si: 0.579 0.500 0.157
Pd: 0.425 0.000 0.850

The theoretical density is 8.68 g/cm³. The space group is No. 38.

---

*2*
## DyErSiPd (GGA-PBE)

Data for a relaxed DyErSiPd crystal.

Unit cell a=4.954 b=4.954 c=4.954 alpha=60.00 beta=60.00 gamma=60.00
Positions (direct):
Si: 0.750 0.750 0.750
Dy: 0.000 0.000 0.000
Pd: 0.250 0.250 0.250
Er: 0.500 0.500 0.500

The theoretical density is 8.97 g/cm³. The space group is No. 216.

---

So which one is most stable? That would be *1*, about 0.111 eV/atom below the next structure.

---

*1*
## DyErZnPd (GGA-PBE)

Data for a relaxed DyErZnPd crystal.

Unit cell a=3.538 b=3.538 c=6.962 alpha=90.00 beta=90.00 gamma=90.00
Positions (direct):
Dy: 0.000 0.000 0.861
Er: 0.000 0.000 0.352
Zn: 0.500 0.500 0.603
Pd: 0.500 0.500 0.112

The theoretical density is 9.56 g/cm³. The space group is No. 99.

---

*2*
## DyErZnPd (GGA-PBE)

Data for a relaxed DyErZnPd crystal.

Unit cell a=4.979 b=4.979 c=4.979 alpha=60.00 beta=60.00 gamma=60.00
Positions (direct):
Zn: 0.000 0.000 0.000
Dy: 0.250 0.250 0.250
Pd: 0.500 0.500 0.500
Er: 0.750 0.750 0.750

The theoretical density is 9.54 g/cm³. The space group is No. 216.

---

So which one is most stable? That would be *1*, about 0.026 eV/atom below the next structure.

---

*1*
## Pm3Dy2Er5 (GGA-PBE)

Data for a relaxed Pm3Dy2Er5 crystal.

Unit cell a=9.393 b=9.383 c=11.086 alpha=125.09 beta=125.11 gamma=69.02
Positions (direct):
Pm: 0.234 0.984 0.968
Pm: 0.766 0.016 0.032
Pm: 0.731 0.475 0.253
Pm: 0.269 0.525 0.747
Pm: 0.022 0.777 0.253
Pm: 0.978 0.223 0.747
Dy: 0.769 0.014 0.736
Dy: 0.231 0.986 0.264
Dy: 0.467 0.722 0.736
Dy: 0.533 0.278 0.264
Er: 0.272 0.522 0.044
Er: 0.728 0.478 0.956
Er: 0.026 0.776 0.553
Er: 0.529 0.279 0.557
Er: 0.974 0.224 0.447
Er: 0.471 0.721 0.443
Er: 0.855 0.605 0.726
Er: 0.145 0.395 0.274
Er: 0.371 0.121 0.726
Er: 0.629 0.879 0.274

The theoretical density is 8.11 g/cm³. The space group is No. 15.

---

*2*
## Pm3Dy2Er5 (GGA-PBE)

Data for a relaxed Pm3Dy2Er5 crystal.

Unit cell a=6.287 b=11.037 c=11.037 alpha=99.17 beta=73.45 gamma=73.45
Positions (direct):
Pm: 0.250 0.000 0.000
Pm: 0.750 0.000 0.000
Pm: 0.342 0.405 0.911
Pm: 0.658 0.595 0.089
Pm: 0.842 0.911 0.405
Pm: 0.158 0.089 0.595
Dy: 0.103 0.741 0.053
Dy: 0.897 0.259 0.947
Dy: 0.603 0.053 0.741
Dy: 0.397 0.947 0.259
Er: 0.250 0.500 0.500
Er: 0.750 0.500 0.500
Er: 0.503 0.747 0.747
Er: 0.997 0.253 0.253
Er: 0.497 0.253 0.253
Er: 0.003 0.747 0.747
Er: 0.098 0.557 0.246
Er: 0.902 0.443 0.754
Er: 0.598 0.246 0.557
Er: 0.402 0.754 0.443

The theoretical density is 7.81 g/cm³. The space group is No. 72.

---

So which one is most stable? That would be *1*, about 0.148 eV/atom below the next structure.